CeIn2Ga PBE optimized geometry; E above lowest polymorph = 2.27 eV per formula unit; space-group type = R-3m; ΔE_f = 149 meV per atom; E = -41.52 eV/cell
1.0
3.273 0.000 0.000
-1.637 2.835 0.000
0.000 0.000 33.984
Ce In Ga
3 6 3
Cartesian
0.000 0.000 0.000
0.000 1.890 22.656
1.637 0.945 11.328
0.000 0.000 3.235
0.000 0.000 30.749
0.000 1.890 19.421
0.000 1.890 25.892
1.637 0.945 8.093
1.637 0.945 14.563
0.000 0.000 16.992
0.000 1.890 5.664
1.637 0.945 28.320